A geometry-optimized Zn2CrCo structure, computed with GGA-PBE.

Lattice parameters (Å, degrees): 2.5065 2.5065 8.0808 90.00 90.00 99.95
With the nearest neighbours (Å) after each atom.
Fractional positions:
1 Zn 0.0000 0.0000 0.2438  4 Zn 2.51, 4 Co 2.55-2.75, 2 Cr 2.62
2 Zn 0.0000 0.0000 0.7562  4 Zn 2.51, 4 Co 2.55-2.75, 2 Cr 2.62
3 Cr 0.5000 0.5000 0.5000  4 Cr 2.51, 4 Zn 2.62
4 Co 0.5000 0.5000 0.0000  4 Co 2.51, 8 Zn 2.55-2.75

Computed properties:
Calculated density ... 8.028 g/cm3
Magnetization ... 1.565 μB/f.u.
Final energy ... -4.669 eV per atom
Calculated formation energy ... 58 kJ/mol of formula units
ΔE to the lowest computed polymorph ... 111.8 meV per atom
Symmetry ... Cmmm, No. 65